A relaxed WAuF3 crystal. Source: the Alexandria database, functional PBE with a Hubbard U.

a b c (Å): 4.3078 4.3078 4.3078
angles (deg): 90.00 90.00 90.00
Space group Pm-3m (No. 221)
Inequivalent atoms, fractional coordinates:
1 W 0.0000 0.0000 0.0000 (multiplicity 1)
2 Au 0.5000 0.5000 0.5000 (multiplicity 1)
3 F 0.0000 0.0000 0.5000 (multiplicity 3)

Results
Total energy (eV per atom): -4.67
Relative energy among the computed polymorphs (eV per atom): 0.000
D(E_F) (states/eV per atom): 0.351